[1]
Below is crystalline K2RuRh at its relaxed geometry, with properties calculated at the PBE level.

Summary:
* energy of formation from the pure elements: 2.7 eV/f.u.
* E above lowest polymorph: 145.2 meV per atom

a b c (Å): 10.239 10.239 4.302
angles (deg): 77.99 77.99 16.06
Positions (direct):
K  0.108  0.108  0.894
Ru  0.250  0.250  0.250
K  0.392  0.392  0.606
Rh  0.750  0.750  0.750


[2]
Below is crystalline NdDyTh4 at its relaxed geometry, with properties calculated at the PBE level.

Summary:
* energy of formation from the pure elements: 0.3 eV/f.u.
* E above lowest polymorph: 0.0 meV per atom

a b c (Å): 5.042 5.074 8.059
angles (deg): 90.00 108.23 90.00
Positions (direct):
Th  0.669  0.000  0.338
Th  0.331  0.000  0.662
Nd  0.000  0.000  0.000
Dy  0.500  0.500  0.000
Th  0.831  0.500  0.661
Th  0.169  0.500  0.339


[3]
Below is crystalline Sr2TcAg at its relaxed geometry, with properties calculated at the PBE level.

Summary:
* energy of formation from the pure elements: 2.6 eV/f.u.
* E above lowest polymorph: 210.4 meV per atom

a b c (Å): 6.125 6.125 6.125
angles (deg): 135.97 135.97 64.03
Last column: magnetic moment on the atom in μB.
Positions (direct):
Ag  0.750  0.250  0.500  0.00
Tc  0.500  0.500  0.000  2.02
Sr  0.000  0.000  0.000  -0.03
Sr  0.250  0.750  0.500  -0.03


[4]
Below is crystalline KPdPb3 at its relaxed geometry, with properties calculated at the PBE level.

Summary:
* energy of formation from the pure elements: -0.9 eV/f.u.
* E above lowest polymorph: 0.0 meV per atom

a b c (Å): 4.410 8.572 8.572
angles (deg): 112.51 90.00 90.00
Positions (direct):
K  0.500  0.284  0.716
Pd  0.500  0.299  0.299
Pb  0.000  0.921  0.674
Pb  0.000  0.674  0.921
Pb  0.500  0.000  0.000
Pd  0.500  0.701  0.701
Pb  0.000  0.326  0.079
K  0.500  0.716  0.284
Pb  0.000  0.500  0.500
Pb  0.000  0.079  0.326


[5]
Below is crystalline NaAgBr3 at its relaxed geometry, with properties calculated at the PBE level.

Summary:
* E above lowest polymorph: 88.7 meV per atom
* formation energy without anion corrections: -0.64 eV per atom

a b c (Å): 5.371 5.371 5.371
angles (deg): 90.00 90.00 90.00
Positions (direct):
Br  0.000  0.500  0.000
Br  0.000  0.000  0.500
Na  0.500  0.500  0.500
Br  0.500  0.000  0.000
Ag  0.000  0.000  0.000


[6]
Below is crystalline LaGdCuSn at its relaxed geometry, with properties calculated at the PBE level.

Summary:
* energy of formation from the pure elements: -1.8 eV/f.u.

a b c (Å): 5.320 5.320 5.320
angles (deg): 60.00 60.00 60.00
Last column: magnetic moment on the atom in μB.
Positions (direct):
Sn  0.250  0.250  0.250  0.06
Cu  0.750  0.750  0.750  -0.03
Gd  0.000  0.000  0.000  -7.22
La  0.500  0.500  0.500  -0.17